Here is crystalline KMn3 at its relaxed geometry from Alexandria via LeMat-Bulk. Energies are from PBE.

Size of the total moment = 11.88 μB/f.u.
DFT total energy = -23.59 eV/cell
Volume = 20.55 Å³/atom
Formation energy = 1254 meV/atom
Fermi-level density of states = 5.04 states/eV per cell
E above lowest polymorph = 548.2 meV per atom

a = 5.2904 Å, b = 5.2904 Å, c = 2.9366 Å
α = 90.00°, β = 90.00°, γ = 90.00°
Closest atoms and distances in Å follow each position.
Positions (direct):
K 0.0000 0.0000 0.0000  2 K 2.94, 8 Mn 3.03
Mn 0.0000 0.5000 0.5000  6 Mn 2.94-3.03, 4 K 3.03
Mn 0.5000 0.0000 0.5000  6 Mn 2.94-3.03, 4 K 3.03
Mn 0.5000 0.5000 0.0000  10 Mn 2.94-3.03